## LaSm2Rh (PBE-GGA)

Data for an optimized crystal structure of LaSm2Rh.

Values from the calculation:
Calculated density = 6.8 g/cm3
Space-group type = R-3m (166)
Total DFT energy (no corrections) = -5.59 eV/atom
Offset from the most stable computed form = 296 meV per atom

Cell lengths 3.7912, 3.7912, 10.8792 Å; angles 79.97, 79.97, 60.00 degrees
With the nearest neighbours (Å) after each atom.
Fractional coordinates of all 4 atoms:
Sm: 0.1130 0.1130 0.6611  3 Rh 2.78
La: 0.0000 0.0000 0.0000  2 Sm 3.61, 6 La 3.79
Sm: 0.8870 0.8870 0.3389  3 Rh 2.78
Rh: 0.5000 0.5000 0.5000  6 Sm 2.78

---

## KHoOsO6 (PBE-GGA)

Data for an optimized crystal structure of KHoOsO6.

Values from the calculation:
Calculated density = 5.2 g/cm3
Space-group type = P312 (149)
Total DFT energy (no corrections) = -6.98 eV/atom
Raw formation energy = -16.132 eV per formula unit

Cell lengths 5.6026, 5.6026, 5.7949 Å; angles 90.00, 90.00, 60.00 degrees
With the nearest neighbours (Å) after each atom.
Fractional coordinates of all 9 atoms:
Ho: 0.6666 0.6667 0.5000  6 O 2.24
Os: 0.3333 0.3333 0.5000  6 O 1.88
O: 0.3595 0.0474 0.6870  1 Os 1.88
O: 0.3595 0.5930 0.3129  1 Os 1.88
O: 0.0474 0.5931 0.6870  1 Os 1.88
K: 0.0000 0.0000 0.0000  6 O 2.82
O: 0.0474 0.3595 0.3129  1 Os 1.88
O: 0.5930 0.0474 0.3129  1 Os 1.88
O: 0.5930 0.3595 0.6870  1 Os 1.88

---

## Nd3Mg4Au4 (PBE-GGA)

Data for an optimized crystal structure of Nd3Mg4Au4.

Values from the calculation:
Calculated density = 8.4 g/cm3
Space-group type = Immm (71)
Total DFT energy (no corrections) = -3.70 eV/atom

Cell lengths 4.1251, 8.1807, 9.0105 Å; angles 117.00, 103.23, 90.00 degrees
With the nearest neighbours (Å) after each atom.
Fractional coordinates of all 11 atoms:
Nd: 0.0000 0.5000 0.0000  4 Au 3.18
Au: 0.5000 0.7955 0.0000  2 Mg 2.82
Nd: 0.8856 0.8856 0.7713  6 Au 3.14-3.19, 4 Mg 3.39
Mg: 0.3265 0.5173 0.6531  4 Au 2.75-2.91
Au: 0.2334 0.7334 0.4667  6 Mg 2.75-2.91
Mg: 0.6735 0.4827 0.3469  4 Au 2.75-2.91
Mg: 0.3265 0.1357 0.6531  4 Au 2.75-2.91
Nd: 0.1144 0.1144 0.2287  6 Au 3.14-3.19, 4 Mg 3.39
Mg: 0.6735 0.8643 0.3469  4 Au 2.75-2.91
Au: 0.7666 0.2666 0.5333  6 Mg 2.75-2.91
Au: 0.5000 0.2045 0.0000  2 Mg 2.82

---

## K3Dy2TlS6 (PBE-GGA)

Data for an optimized crystal structure of K3Dy2TlS6.

Values from the calculation:
Calculated density = 4.4 g/cm3
Space-group type = C2/m (12)
Total DFT energy (no corrections) = -4.72 eV/atom
Raw formation energy = -17.062 eV per formula unit

Cell lengths 7.0134, 7.0134, 7.7651 Å; angles 98.65, 98.65, 119.98 degrees
With the nearest neighbours (Å) after each atom.
Fractional coordinates of all 12 atoms:
K: 0.5000 0.5000 0.5000  6 S 3.19-3.21
S: 0.5955 0.9320 0.7962  2 Dy 2.77, 1 Tl 2.80
S: 0.4045 0.0680 0.2038  2 Dy 2.77, 1 Tl 2.80
Dy: 0.3332 0.6668 0.0000  6 S 2.77
K: 0.8352 0.1648 0.5000  6 S 3.20-3.21
S: 0.7310 0.7310 0.2036  2 Dy 2.77, 1 Tl 2.80
S: 0.0680 0.4045 0.2038  2 Dy 2.77, 1 Tl 2.80
S: 0.2690 0.2690 0.7964  2 Dy 2.77, 1 Tl 2.80
K: 0.1648 0.8352 0.5000  6 S 3.20-3.21
Tl: 0.0000 0.0000 0.0000  6 S 2.80
S: 0.9320 0.5955 0.7962  2 Dy 2.77, 1 Tl 2.80
Dy: 0.6668 0.3332 0.0000  6 S 2.77

---

## SrSc3As (PBE-GGA)

Data for an optimized crystal structure of SrSc3As.

Values from the calculation:
Calculated density = 3.4 g/cm3
Space-group type = Pm-3m (221)
Total DFT energy (no corrections) = -5.30 eV/atom
Offset from the most stable computed form = 0 meV per atom

Cell lengths 5.2778, 5.2778, 5.2778 Å; angles 90.00, 90.00, 90.00 degrees
With the nearest neighbours (Å) after each atom.
Fractional coordinates of all 5 atoms:
Sr: 0.5000 0.5000 0.5000  12 Sc 3.73
As: 0.0000 0.0000 0.0000  6 Sc 2.64
Sc: 0.0000 0.5000 0.0000  2 As 2.64
Sc: 0.5000 0.0000 0.0000  2 As 2.64
Sc: 0.0000 0.0000 0.5000  2 As 2.64

---

## ZnAs2SeF (PBE-GGA)

Data for an optimized crystal structure of ZnAs2SeF.

Values from the calculation:
Calculated density = 5.1 g/cm3
Space-group type = P4/mmm (123)
Total DFT energy (no corrections) = -2.86 eV/atom
Offset from the most stable computed form = 0 meV per atom
Raw formation energy = 1.617 eV per formula unit

Cell lengths 4.2853, 4.2853, 5.5059 Å; angles 90.00, 90.00, 90.00 degrees
With the nearest neighbours (Å) after each atom.
Fractional coordinates of all 5 atoms:
Se: 0.0000 0.0000 0.5000  2 F 2.75, 4 Zn 3.03
Zn: 0.5000 0.5000 0.5000  4 Se 3.03
As: 0.5000 0.0000 0.0000  2 F 2.14
F: 0.0000 0.0000 0.0000  4 As 2.14
As: 0.0000 0.5000 0.0000  2 F 2.14